No. 1
## NiAg2W (GGA-PBE)

Data for an optimized crystal structure of NiAg2W.

Structure (CIF):
```
data_NiAg2W
_chemical_formula_sum 'Ni2 Ag4 W2'
_cell_length_a 9.055
_cell_length_b 2.712
_cell_length_c 5.166
_cell_angle_alpha 90.00
_cell_angle_beta 98.60
_cell_angle_gamma 90.00
_space_group_name_H-M_alt 'C 1 m 1'
_space_group_IT_number 8
loop_
_space_group_symop_operation_xyz
'x,y,z'
'x,-y,z'
'x+1/2,y+1/2,z'
'x+1/2,-y+1/2,z'
loop_
_atom_site_label
_atom_site_type_symbol
_atom_site_fract_x
_atom_site_fract_y
_atom_site_fract_z
Ni1 Ni 0.000 0.000 0.000
Ag1 Ag 0.002 0.500 0.538
Ag2 Ag 0.245 0.500 0.295
W1 W 0.259 0.000 0.822
```

Results
The formation energy comes out at 188 kJ/mol of formula units. The distance to the lowest polymorph of the same formula comes out at 230.4 meV/atom. The volume comes out at 15.68 A^3/atom.

***

No. 2
## NiAg2W (GGA-PBE)

Data for an optimized crystal structure of NiAg2W.

Structure (CIF):
```
data_NiAg2W
_chemical_formula_sum 'Ni1 Ag2 W1'
_cell_length_a 2.767
_cell_length_b 2.769
_cell_length_c 8.138
_cell_angle_alpha 90.00
_cell_angle_beta 90.09
_cell_angle_gamma 90.00
_space_group_name_H-M_alt 'P 1 m 1'
_space_group_IT_number 6
loop_
_space_group_symop_operation_xyz
'x,y,z'
'x,-y,z'
loop_
_atom_site_label
_atom_site_type_symbol
_atom_site_fract_x
_atom_site_fract_y
_atom_site_fract_z
Ni1 Ni 0.000 0.000 0.000
Ag1 Ag 0.500 0.500 0.241
Ag2 Ag 0.998 0.000 0.518
W1 W 0.499 0.500 0.794
```

Results
The formation energy comes out at 99 kJ/mol of formula units. The distance to the lowest polymorph of the same formula comes out at 0.0 meV/atom. The volume comes out at 15.59 A^3/atom.